[1]
# YAsPd2N meta-GGA SCAN PBEsol geometry
data_YAsPd2N
_chemical_formula_sum 'Y1 As1 Pd2 N1'
_symmetry_space_group_name_H-M 'P 4/m m m'
_symmetry_Int_Tables_number 123
_symmetry_space_group_name_Hall '-P 4 2'
_cell_length_a 4.4410
_cell_length_b 4.4410
_cell_length_c 5.5498
_cell_angle_alpha 90.00
_cell_angle_beta 90.00
_cell_angle_gamma 90.00
loop_
_atom_site_label
_atom_site_fract_x
_atom_site_fract_y
_atom_site_fract_z
_atom_site_occupancy
Y1 0.0000 0.0000 0.0000 1
As1 0.0000 0.0000 0.5000 1
Pd1 0.0000 0.5000 0.5000 1
N1 0.5000 0.5000 0.0000 1
# Total magnetic moment   1.30 μB per formula unit
# Uncorrected formation energy   505 meV per atom
# Crystal system   tetragonal

[2]
# BMoP3 meta-GGA SCAN PBEsol geometry
data_BMoP3
_chemical_formula_sum 'B1 Mo1 P3'
_symmetry_space_group_name_H-M 'P m -3 m'
_symmetry_Int_Tables_number 221
_symmetry_space_group_name_Hall '-P 4 2 3'
_cell_length_a 4.6178
_cell_length_b 4.6178
_cell_length_c 4.6178
_cell_angle_alpha 90.00
_cell_angle_beta 90.00
_cell_angle_gamma 90.00
loop_
_atom_site_label
_atom_site_fract_x
_atom_site_fract_y
_atom_site_fract_z
_atom_site_occupancy
B1 0.0000 0.0000 0.0000 1
Mo1 0.5000 0.5000 0.5000 1
P1 0.0000 0.5000 0.5000 1
# Total magnetic moment   0.00 μB per formula unit
# ΔH_f (0 K)   135.9 kJ/mol of atoms
# Crystal system   cubic

[3]
# Be2Nb2Co meta-GGA SCAN PBEsol geometry
data_Be2Nb2Co
_chemical_formula_sum 'Be4 Nb4 Co2'
_symmetry_space_group_name_H-M 'P 4/m b m'
_symmetry_Int_Tables_number 127
_symmetry_space_group_name_Hall '-P 4 2ab'
_cell_length_a 5.9576
_cell_length_b 5.9576
_cell_length_c 3.4525
_cell_angle_alpha 90.00
_cell_angle_beta 90.00
_cell_angle_gamma 90.00
loop_
_atom_site_label
_atom_site_fract_x
_atom_site_fract_y
_atom_site_fract_z
_atom_site_occupancy
Be1 0.1264 0.3736 0.0000 1
Nb1 0.1749 0.6749 0.5000 1
Co1 0.0000 0.0000 0.0000 1
# Total magnetic moment   0.00 μB per formula unit
# ΔH_f (0 K)   -12.3 kJ/mol of atoms
# Crystal system   tetragonal